# 1
## TmPuGaPt (GGA-PBE)

Data for an optimized crystal structure of TmPuGaPt.

a = 7.051 Å, b = 7.051 Å, c = 7.051 Å
α = 90.00°, β = 90.00°, γ = 90.00°
Space group F-43m (No. 216)
One atom of each set of equivalent atoms:
Tm1 0.000 0.000 0.000 (multiplicity 4)
Pu1 0.000 0.000 0.500 (multiplicity 4)
Ga1 0.250 0.250 0.250 (multiplicity 4)
Pt1 0.250 0.250 0.750 (multiplicity 4)

Summary:
energy = -121.957 eV per cell
calculated formation energy = -2.62 eV/f.u.



# 2
## SmMgInGa (GGA-PBE)

Data for an optimized crystal structure of SmMgInGa.

a = 4.440 Å, b = 4.499 Å, c = 4.662 Å
α = 90.00°, β = 90.00°, γ = 90.00°
Space group Pmmm (No. 47)
One atom of each set of equivalent atoms:
Sm1 0.000 0.000 0.000 (multiplicity 1)
Mg1 0.000 0.500 0.500 (multiplicity 1)
In1 0.500 0.000 0.500 (multiplicity 1)
Ga1 0.500 0.500 0.000 (multiplicity 1)

Summary:
ΔE to the lowest computed polymorph = 0.0 kJ/mol of atoms
energy = -13.777 eV per cell
calculated formation energy = -1.70 eV/f.u.



# 3
## NpGaBr6 (GGA-PBE)

Data for an optimized crystal structure of NpGaBr6.

a = 7.194 Å, b = 7.203 Å, c = 7.738 Å
α = 90.02°, β = 117.67°, γ = 119.95°
Space group P-1 (No. 2)
One atom of each set of equivalent atoms:
Np1 0.000 0.000 0.000 (multiplicity 1)
Ga1 0.000 0.500 0.500 (multiplicity 1)
Br1 0.150 0.226 0.761 (multiplicity 2)
Br2 0.163 0.388 0.239 (multiplicity 2)
Br3 0.465 0.076 0.239 (multiplicity 2)

Summary:
energy = -33.588 eV per cell
formation energy from raw total energies = -0.95 eV/atom